VASP calculation (SCAN) on a crystal of Li3Ho relaxed with PBEsol.

a = 6.4426 Å, b = 6.4426 Å, c = 5.0132 Å
α = 90.00°, β = 90.00°, γ = 120.00°
Space group P6_3/mmc (No. 194)
Unique sites:
Li 0.1542 0.3084 0.2500 [6 per cell]
Ho 0.3333 0.6667 0.7500 [2 per cell]

Computed properties:
The value obtained for the energy relative to the elements is 5.1 kcal/mol of atoms. The density of states at the Fermi level is 0.788 states/eV/atom. For the total magnetic moment, the calculation gives 0.73 Bohr magnetons per cell. The crystal system is hexagonal.